Here is a geometry-optimized LaTiNb2In structure from Alexandria. Energies are from PBE.

For the energy relative to the elements, the calculation gives 1829 meV per atom. For the magnetic moment, the calculation gives 0.00 μB per formula unit.

It has space group P4/mmm (No. 123), with a = 4.901 Å, b = 4.901 Å, c = 5.707 Å, α = 90.00°, β = 90.00° and γ = 90.00°. Symmetry generates all atoms from La at (0.000, 0.000, 0.000), Ti at (0.500, 0.500, 0.500), Nb at (0.000, 0.500, 0.000) and In at (0.000, 0.000, 0.500).